Record 1
DFT (PBE) results for an optimized crystal structure of Pu2BrCl.

Values from the calculation:
* crystal system: trigonal
* raw total energy: -35.8 eV per cell
* Fermi-level density of states: 3.510 states/eV/atom
* E_form (uncorrected): -86.2 kJ/mol of atoms

Cell and atoms, written as extended XYZ:
```
4
Lattice="2.038 1.177 6.698 -2.038 1.177 6.698 0.000 -2.354 6.698" Properties=species:S:1:pos:R:3 pbc="T T T"
Pu 0.000 0.000 4.885
Pu 0.000 0.000 15.209
Br 0.000 0.000 0.000
Cl 0.000 0.000 10.047
```

=====

Record 2
DFT (PBE) results for an optimized crystal structure of TmHfGa.

Values from the calculation:
* energy of formation: -0.291 eV per atom
* crystal system: tetragonal
* raw total energy: -18.3 eV per cell
* Fermi-level density of states: 0.765 states/eV/atom
* excess energy over the best structure of this formula in the dataset: 102.9 meV per atom

Cell and atoms, written as extended XYZ:
```
3
Lattice="-1.646 1.646 6.126 1.646 -1.646 6.126 1.646 1.646 -6.126" Properties=species:S:1:pos:R:3 pbc="T T T"
Tm 0.000 0.000 0.000
Hf 0.000 0.000 3.823
Ga 0.000 0.000 8.151
```

=====

Record 3
DFT (PBE) results for an optimized crystal structure of Cd2RhAu.

Values from the calculation:
* energy of formation: -0.042 eV per atom
* crystal system: cubic
* raw total energy: -12.6 eV per cell
* Fermi-level density of states: 0.615 states/eV/atom

Cell and atoms, written as extended XYZ:
```
4
Lattice="0.000 3.306 3.306 3.306 0.000 3.306 3.306 3.306 0.000" Properties=species:S:1:pos:R:3 pbc="T T T"
Cd 0.000 0.000 0.000
Cd 1.653 1.653 1.653
Rh 3.306 3.306 3.306
Au 4.960 4.960 4.960
```

=====

Record 4
DFT (PBE) results for an optimized crystal structure of KRe.

Values from the calculation:
* energy of formation: 3.146 eV per atom
* crystal system: cubic
* raw total energy: -7.3 eV per cell
* Fermi-level density of states: 1.013 states/eV/atom
* excess energy over the best structure of this formula in the dataset: 2315.6 meV per atom

Cell and atoms, written as extended XYZ:
```
2
Lattice="0.000 3.388 3.388 3.388 0.000 3.388 3.388 3.388 0.000" Properties=species:S:1:pos:R:3 pbc="T T T"
K 0.000 0.000 0.000
Re 3.388 3.388 3.388
```

=====

Record 5
DFT (PBE) results for an optimized crystal structure of V3AgP.

Values from the calculation:
* energy of formation: 1.738 eV per atom
* crystal system: cubic
* raw total energy: -26.9 eV per cell
* Fermi-level density of states: 2.482 states/eV/atom
* excess energy over the best structure of this formula in the dataset: 1409.3 meV per atom

Cell and atoms, written as extended XYZ:
```
5
Lattice="4.783 0.000 0.000 0.000 4.783 0.000 0.000 0.000 4.783" Properties=species:S:1:pos:R:3 pbc="T T T"
V 0.000 0.000 2.392
V 0.000 2.392 0.000
V 2.392 0.000 0.000
Ag 0.000 0.000 0.000
P 2.392 2.392 2.392
```

=====

Record 6
DFT (PBE) results for an optimized crystal structure of AgAsRu.

Values from the calculation:
* energy of formation: 0.075 eV per atom
* crystal system: tetragonal
* raw total energy: -16.6 eV per cell
* Fermi-level density of states: 0.248 states/eV/atom
* excess energy over the best structure of this formula in the dataset: 186.9 meV per atom

Cell and atoms, written as extended XYZ:
```
3
Lattice="-1.557 1.557 5.137 1.557 -1.557 5.137 1.557 1.557 -5.137" Properties=species:S:1:pos:R:3 pbc="T T T"
Ag 0.000 0.000 0.000
As 0.000 0.000 7.129
Ru 0.000 0.000 3.139
```

=====

Record 7
DFT (PBE) results for an optimized crystal structure of SiSn2Rh6.

Values from the calculation:
* crystal system: orthorhombic
* raw total energy: -60.1 eV per cell
* Fermi-level density of states: 1.087 states/eV/atom
* E_form (uncorrected): -28.0 kJ/mol of atoms

Cell and atoms, written as extended XYZ:
```
9
Lattice="-2.034 3.051 6.322 2.034 -3.051 6.322 2.034 3.051 -6.322" Properties=species:S:1:pos:R:3 pbc="T T T"
Si 0.000 0.000 0.000
Sn 0.000 0.000 4.266
Sn 0.000 0.000 8.377
Rh 2.034 -1.662 4.321
Rh 2.034 1.372 0.000
Rh 0.000 1.389 2.000
Rh 2.034 1.662 4.321
Rh 0.000 1.679 6.322
Rh 0.000 4.713 2.000
```

=====

Record 8
DFT (PBE) results for an optimized crystal structure of UGeS3.

Values from the calculation:
* crystal system: monoclinic
* raw total energy: -64.7 eV per cell
* Fermi-level density of states: 1.278 states/eV/atom
* excess energy over the best structure of this formula in the dataset: 0.0 meV per atom
* E_form (uncorrected): -78.8 kJ/mol of atoms

Cell and atoms, written as extended XYZ:
```
10
Lattice="3.800 -5.787 0.000 3.800 5.787 0.000 -1.543 0.000 6.153" Properties=species:S:1:pos:R:3 pbc="T T T"
U 3.800 3.764 0.000
U 3.800 -3.764 0.000
Ge 1.764 0.000 3.749
Ge 4.294 0.000 2.404
S 0.784 2.001 4.770
S 0.659 0.000 1.617
S 0.784 -2.001 4.770
S 5.274 2.001 1.383
S 5.399 0.000 4.536
S 5.274 -2.001 1.383
```